The following is a DFT calculation (GGA-PBE) of crystalline Ac5CeAu6 at its relaxed geometry.

Output
**Uncorrected energy**: -4.578 eV per atom
**M_tot**: 0.08 μB/atom

Lattice parameters (Å, degrees): 9.521 9.521 5.502 106.72 106.72 47.80
Fractional positions:
Ac  0.000  0.000  0.000
Ac  0.166  0.166  0.666
Ac  0.333  0.333  0.333
Ac  0.667  0.667  0.667
Ac  0.834  0.834  0.334
Ce  0.500  0.500  0.000
Au  0.096  0.581  0.839
Au  0.264  0.736  0.500
Au  0.419  0.904  0.161
Au  0.581  0.096  0.839
Au  0.736  0.264  0.500
Au  0.904  0.419  0.161

The following is a DFT calculation (GGA-PBE) of crystalline Ac2CeAu at its relaxed geometry.

Output
**Distance to the lowest polymorph of the same formula**: 0.322 eV per atom
**Uncorrected energy**: -4.307 eV per atom
**M_tot**: 0.50 μB/atom

Lattice parameters (Å, degrees): 11.829 11.829 11.829 18.85 18.85 18.85
Fractional positions:
Ac  0.102  0.102  0.102
Ac  0.898  0.898  0.898
Ce  0.000  0.000  0.000
Au  0.500  0.500  0.500

The following is a DFT calculation (GGA-PBE) of crystalline Ac2CeAu4 at its relaxed geometry.

Output
**Distance to the lowest polymorph of the same formula**: 0.205 eV per atom
**Uncorrected energy**: -4.295 eV per atom
**M_tot**: 0.11 μB/atom

Lattice parameters (Å, degrees): 8.861 8.861 8.861 144.41 144.41 51.21
Fractional positions:
Ac  0.128  0.128  0.000
Ac  0.872  0.872  0.000
Ce  0.500  0.500  0.000
Au  0.000  0.500  0.500
Au  0.319  0.319  0.000
Au  0.500  0.000  0.500
Au  0.681  0.681  0.000

The following is a DFT calculation (GGA-PBE) of crystalline Ac2CeAu3 at its relaxed geometry.

Output
**Uncorrected energy**: -4.645 eV per atom
**M_tot**: 0.24 μB/atom

Lattice parameters (Å, degrees): 7.446 7.446 9.609 108.72 108.72 49.97
Fractional positions:
Ac  0.168  0.171  0.085
Ac  0.171  0.168  0.585
Ac  0.829  0.832  0.415
Ac  0.832  0.829  0.915
Ce  0.499  0.501  0.250
Ce  0.501  0.499  0.750
Au  0.001  0.999  0.750
Au  0.344  0.346  0.423
Au  0.346  0.344  0.923
Au  0.654  0.656  0.077
Au  0.656  0.654  0.577
Au  0.999  0.001  0.250

The following is a DFT calculation (GGA-PBE) of crystalline AcCe5Au6 at its relaxed geometry.

Output
**Uncorrected energy**: -5.062 eV per atom
**M_tot**: 0.27 μB/atom

Lattice parameters (Å, degrees): 9.153 9.153 9.153 146.23 132.46 59.58
Fractional positions:
Ac  0.000  0.000  0.000
Ce  0.163  0.663  0.500
Ce  0.328  0.328  0.000
Ce  0.500  0.000  0.500
Ce  0.672  0.672  0.000
Ce  0.837  0.337  0.500
Au  0.093  0.829  0.264
Au  0.274  0.500  0.774
Au  0.435  0.171  0.264
Au  0.565  0.829  0.736
Au  0.726  0.500  0.226
Au  0.907  0.171  0.736

The following is a DFT calculation (GGA-PBE) of crystalline AcCeAu at its relaxed geometry.

Output
**Distance to the lowest polymorph of the same formula**: 0.236 eV per atom
**Uncorrected energy**: -4.663 eV per atom
**M_tot**: 0.56 μB/atom

Lattice parameters (Å, degrees): 5.264 5.264 5.264 60.00 60.00 60.00
Fractional positions:
Ac  0.000  0.000  0.000
Ce  0.500  0.500  0.500
Au  0.250  0.250  0.250